A plane-wave DFT calculation with GGA-PBE was carried out for crystalline Tb4CeY9 at its relaxed geometry.

Unit cell a=9.7418 b=9.7418 c=11.2291 alpha=90.00 beta=90.00 gamma=120.00
Space group P6_3/mmc (No. 194)
Inequivalent atoms, fractional coordinates:
Tb  0.0000  0.0000  0.0000 x2
Tb  0.1122  0.2245  0.2500 x6
Ce  0.3333  0.6667  0.7500 x2
Y  0.0802  0.5401  0.2500 x6
Y  0.2098  0.4197  0.5301 x12

Output
DFT formation energy   0.1848 eV per atom
Mass density   5671 kg/m³
D(E_F)   1.780 states/eV/atom
Uncorrected energy   -5.7174 eV per atom